NdCN3: optimized geometry, PBE.

a b c (Å): 4.091 5.341 6.466
angles (deg): 90.00 103.33 90.00
Positions (direct):
Nd1 0.162 0.250 0.292
Nd2 0.838 0.750 0.708
C1 0.285 0.250 0.757
C2 0.715 0.750 0.243
N1 0.120 0.250 0.912
N2 0.345 0.028 0.677
N3 0.345 0.472 0.677
N4 0.655 0.528 0.323
N5 0.655 0.972 0.323
N6 0.880 0.750 0.088

Properties
raw formation energy = -0.18 eV per atom
space-group type = No. 11
D(E_F) = 1.6 states/eV/f.u.

=====

Tb2CoPb: optimized geometry, PBE.

a b c (Å): 3.728 3.728 25.775
angles (deg): 90.00 90.00 120.00
Positions (direct):
Tb1 0.000 0.000 0.228
Tb2 0.000 0.000 0.772
Tb3 0.333 0.667 0.438
Tb4 0.333 0.667 0.895
Tb5 0.667 0.333 0.105
Tb6 0.667 0.333 0.562
Co1 0.000 0.000 0.500
Co2 0.333 0.667 0.167
Co3 0.667 0.333 0.833
Pb1 0.000 0.000 0.000
Pb2 0.333 0.667 0.667
Pb3 0.667 0.333 0.333

Properties
excess energy over the best structure of this formula in the dataset = 85 meV per atom
space-group type = No. 166
ΔE_f = -214 meV/atom
D(E_F) = 2.5 states/eV/f.u.

=====

AlCuO4F: optimized geometry, PBE.

a b c (Å): 5.325 5.325 10.830
angles (deg): 99.38 99.38 31.55
Positions (direct):
Al1 0.000 0.000 0.000
Al2 0.500 0.500 0.500
Cu1 0.168 0.168 0.309
Cu2 0.832 0.832 0.691
O1 0.122 0.122 0.557
O2 0.147 0.147 0.131
O3 0.192 0.192 0.683
O4 0.436 0.436 0.649
O5 0.564 0.564 0.351
O6 0.808 0.808 0.317
O7 0.853 0.853 0.869
O8 0.878 0.878 0.443
F1 0.424 0.424 0.072
F2 0.576 0.576 0.928

Properties
raw formation energy = -1.14 eV per atom
space-group type = No. 12
D(E_F) = 2.7 states/eV/f.u.

=====

Ti2MnNbSn: optimized geometry, PBE.

a b c (Å): 4.526 4.526 4.604
angles (deg): 90.00 90.00 90.00
Positions (direct):
Ti1 0.000 0.500 0.000
Ti2 0.500 0.000 0.000
Mn1 0.000 0.000 0.000
Nb1 0.000 0.000 0.500
Sn1 0.500 0.500 0.500

Properties
space-group type = No. 123
ΔE_f = 222 meV/atom
D(E_F) = 5.9 states/eV/f.u.